Record 1
Entry from the Alexandria database: an optimized crystal structure of DyHo5Tm7 (GGA-PBE).

Cell and atoms, written as POSCAR:
```
DyHo5Tm7
1.0
-3.309 5.468 5.688
3.309 -5.468 5.688
3.309 5.468 -5.688
Dy Ho Tm
1 5 7
direct
0.000 0.000 0.000
0.031 0.036 0.458
0.031 0.573 0.995
0.305 0.805 0.500
0.578 0.036 0.005
0.578 0.573 0.542
0.224 0.554 0.670
0.307 0.307 0.000
0.386 0.056 0.330
0.613 0.613 0.000
0.725 0.056 0.670
0.805 0.305 0.500
0.884 0.554 0.330
```



Record 2
Entry from the Alexandria database: an optimized crystal structure of Dy4HoTm8 (GGA-PBE).

Cell and atoms, written as POSCAR:
```
Dy4HoTm8
1.0
3.601 2.079 8.931
-3.601 2.079 8.931
0.000 -4.158 8.931
Dy Ho Tm
4 1 8
direct
0.000 0.000 0.000
0.000 0.500 0.500
0.500 0.000 0.500
0.500 0.500 0.000
0.500 0.500 0.500
0.195 0.750 0.750
0.216 0.216 0.216
0.250 0.250 0.805
0.250 0.805 0.250
0.750 0.195 0.750
0.750 0.750 0.195
0.784 0.784 0.784
0.805 0.250 0.250
```



Record 3
Entry from the Alexandria database: an optimized crystal structure of Dy8HoTm6 (GGA-PBE).

Cell and atoms, written as POSCAR:
```
Dy8HoTm6
1.0
3.500 0.000 0.000
-0.004 8.510 0.000
-0.012 -1.869 15.643
Dy Ho Tm
8 1 6
direct
0.000 0.008 0.105
0.000 0.323 0.435
0.000 0.399 0.837
0.000 0.601 0.163
0.000 0.677 0.565
0.000 0.992 0.895
0.500 0.283 0.241
0.500 0.717 0.759
0.500 0.000 0.500
0.001 0.040 0.688
0.500 0.308 0.023
0.500 0.362 0.634
0.500 0.638 0.366
0.500 0.692 0.977
0.999 0.960 0.312
```



Record 4
Entry from the Alexandria database: an optimized crystal structure of DyHo5Tm (GGA-PBE).

Cell and atoms, written as POSCAR:
```
DyHo5Tm
1.0
9.139 0.000 0.000
0.000 3.564 0.000
-3.473 0.000 13.376
Dy Ho Tm
2 10 2
direct
0.104 0.250 0.109
0.896 0.750 0.891
0.003 0.750 0.381
0.198 0.250 0.875
0.334 0.250 0.511
0.354 0.750 0.723
0.412 0.750 0.076
0.588 0.250 0.924
0.646 0.250 0.277
0.666 0.750 0.489
0.802 0.750 0.125
0.997 0.250 0.619
0.334 0.750 0.301
0.666 0.250 0.699
```



Record 5
Entry from the Alexandria database: an optimized crystal structure of Dy12Ho7Tm (GGA-PBE).

Cell and atoms, written as POSCAR:
```
Dy12Ho7Tm
1.0
6.354 3.668 4.532
-6.354 3.668 4.532
0.000 -7.337 4.532
Dy Ho Tm
12 7 1
direct
0.020 0.352 0.083
0.083 0.020 0.352
0.187 0.315 0.750
0.250 0.813 0.685
0.315 0.750 0.187
0.352 0.083 0.020
0.648 0.917 0.980
0.685 0.250 0.813
0.750 0.187 0.315
0.813 0.685 0.250
0.917 0.980 0.648
0.980 0.648 0.917
0.000 0.000 0.000
0.148 0.478 0.416
0.416 0.148 0.478
0.478 0.416 0.148
0.522 0.584 0.852
0.584 0.852 0.522
0.852 0.522 0.584
0.500 0.500 0.500
```



Record 6
Entry from the Alexandria database: an optimized crystal structure of Dy2Ho2Tm5 (GGA-PBE).

Cell and atoms, written as POSCAR:
```
Dy2Ho2Tm5
1.0
-7.365 5.770 3.318
7.365 -5.770 3.318
7.365 5.770 -3.318
Dy Ho Tm
4 4 10
direct
0.000 0.000 0.000
0.000 0.500 0.500
0.876 0.641 0.735
0.906 0.141 0.265
0.436 0.572 0.120
0.436 0.817 0.364
0.453 0.072 0.636
0.453 0.317 0.880
0.033 0.346 0.794
0.033 0.739 0.187
0.343 0.851 0.992
0.351 0.254 0.382
0.351 0.469 0.597
0.552 0.239 0.206
0.552 0.846 0.813
0.858 0.351 0.008
0.872 0.754 0.403
0.872 0.969 0.618
```



Number 1: spin magnetization 0.00 μB per formula unit, VASP energy -4.258 eV/atom. Number 2: spin magnetization 0.00 μB per formula unit, VASP energy -4.287 eV/atom. Number 3: spin magnetization 0.00 μB per formula unit, VASP energy -4.488 eV/atom. Number 4: spin magnetization 0.00 μB per formula unit, VASP energy -4.499 eV/atom. Number 5: spin magnetization 0.00 μB per formula unit, VASP energy -4.289 eV/atom. Number 6: spin magnetization 0.00 μB per formula unit, VASP energy -4.295 eV/atom.